Record 1
The following is a PBE-GGA calculation of Pm4Te5 after structural relaxation, from Alexandria via LeMat-Bulk.

Output
Calculated density (g cm⁻³): 6.55
Raw formation energy (eV per formula unit): -13.115

```
Pm4Te5
1.0
-4.9489 4.9489 3.1504
4.9489 -4.9489 3.1504
4.9489 4.9489 -3.1504
Pm Te
4 5
Direct
0.0978 0.7008 0.7986
0.2992 0.0978 0.3969
0.7008 0.9022 0.6031
0.9022 0.2992 0.2014
0.0000 0.0000 0.0000
0.2088 0.4037 0.6125
0.4037 0.7912 0.1949
0.5963 0.2088 0.8051
0.7912 0.5963 0.3875
```

---

Record 2
The following is a PBE-GGA calculation of LaGa2Ag3 after structural relaxation, from Alexandria via LeMat-Bulk.

Output
Calculated density (g cm⁻³): 7.94
E_form (eV/atom): -0.313

```
LaGa2Ag3
1.0
8.7729 -2.1906 0.0000
8.7729 2.1906 0.0000
-3.4477 0.0000 9.8310
La Ga Ag
3 6 9
Direct
0.0000 0.0000 0.0000
0.1563 0.1563 0.7055
0.8437 0.8437 0.2945
0.2048 0.2048 0.1294
0.3625 0.3625 0.5378
0.4696 0.4696 0.2207
0.5304 0.5304 0.7793
0.6375 0.6375 0.4622
0.7952 0.7952 0.8706
0.0438 0.0438 0.3441
0.2129 0.2129 0.3912
0.3260 0.3260 0.0323
0.3745 0.3745 0.7998
0.5000 0.5000 0.5000
0.6255 0.6255 0.2002
0.6740 0.6740 0.9677
0.7871 0.7871 0.6088
0.9562 0.9562 0.6559
```

---

Record 3
The following is a PBE-GGA calculation of CsRb3Cd after structural relaxation, from Alexandria via LeMat-Bulk.

Output
Calculated density (g cm⁻³): 1.20
E_form (eV/atom): 0.387
E above lowest polymorph (eV per formula unit): 1.962

```
CsRb3Cd
1.0
8.8475 0.0000 0.0000
0.0000 8.8475 0.0000
0.0000 0.0000 8.8475
Cs Rb Cd
1 3 1
Direct
0.0000 0.0000 0.0000
0.0000 0.0000 0.5000
0.0000 0.5000 0.0000
0.5000 0.0000 0.0000
0.5000 0.5000 0.5000
```

---

Record 4
The following is a PBE-GGA calculation of TiFe2Cl8 after structural relaxation, from Alexandria via LeMat-Bulk.

Output
Calculated density (g cm⁻³): 2.19
Raw formation energy (eV per formula unit): -11.652

```
TiFe2Cl8
1.0
5.9918 -4.7353 0.0000
5.9918 4.7353 0.0000
-0.3387 0.0000 5.9201
Ti Fe Cl
1 2 8
Direct
0.0000 0.0000 0.0000
0.1824 0.1824 0.6500
0.8176 0.8176 0.3500
0.0994 0.7300 0.2131
0.1635 0.1635 0.2613
0.2700 0.9006 0.7869
0.3583 0.3583 0.7420
0.6417 0.6417 0.2580
0.7300 0.0994 0.2131
0.8365 0.8365 0.7387
0.9006 0.2700 0.7869
```

---

Record 5
The following is a PBE-GGA calculation of Sr2TlTc2 after structural relaxation, from Alexandria via LeMat-Bulk.

Output
Calculated density (g cm⁻³): 7.06
E_form (eV/atom): 0.275
E above lowest polymorph (eV per formula unit): 0.000

```
Sr2TlTc2
1.0
-1.7773 1.7773 10.7164
1.7773 -1.7773 10.7164
1.7773 1.7773 -10.7164
Sr Tl Tc
2 1 2
Direct
0.1174 0.1174 0.0000
0.8826 0.8826 0.0000
0.5000 0.5000 0.0000
0.2500 0.7500 0.5000
0.7500 0.2500 0.5000
```

---

Record 6
The following is a PBE-GGA calculation of ErLuRu after structural relaxation, from Alexandria via LeMat-Bulk.

Output
Calculated density (g cm⁻³): 10.33
E_form (eV/atom): -0.417
E above lowest polymorph (eV per formula unit): 0.000

```
ErLuRu
1.0
-1.6808 1.6808 6.3043
1.6808 -1.6808 6.3043
1.6808 1.6808 -6.3043
Er Lu Ru
1 1 1
Direct
0.0000 0.0000 0.0000
0.2564 0.2564 0.0000
0.6305 0.6305 0.0000
```